An optimized crystal structure of TlCdF4. Source: the Alexandria database, functional PBE.

Cell and atoms, written as POSCAR:
```
TlCdF4
1.0
0.0000 4.0071 5.6580
3.9937 0.0000 5.6580
3.9937 4.0071 0.0000
Tl Cd F
2 2 8
Direct
0.1250 0.1250 0.1250
0.8750 0.8750 0.8750
0.3750 0.3750 0.3750
0.6250 0.6250 0.6250
0.0002 0.4994 0.7390
0.9998 0.5006 0.2610
0.2610 0.7387 0.9998
0.2613 0.7390 0.4994
0.4994 0.0002 0.2613
0.5006 0.9998 0.7387
0.7390 0.2613 0.0002
0.7387 0.2610 0.5006
```

Calculated values
**Size of the total moment**: 0.000 μB per formula unit
**Energy relative to the elements, uncorrected**: -1.955 eV per atom

An optimized crystal structure of TbAl2Au4. Source: the Alexandria database, functional PBE.

Cell and atoms, written as POSCAR:
```
TbAl2Au4
1.0
17.4693 0.0000 0.0000
0.0000 4.4969 0.0000
0.0000 0.0000 6.8359
Tb Al Au
4 8 16
Direct
0.1412 0.2500 0.0204
0.3588 0.7500 0.5204
0.6412 0.2500 0.4796
0.8588 0.7500 0.9796
0.0367 0.7500 0.2575
0.2164 0.2500 0.5354
0.2836 0.7500 0.0354
0.4633 0.2500 0.7575
0.5367 0.7500 0.2425
0.7164 0.2500 0.9646
0.7836 0.7500 0.4646
0.9633 0.2500 0.7425
0.0336 0.7500 0.8643
0.0712 0.2500 0.4787
0.1843 0.7500 0.3191
0.1925 0.7500 0.7418
0.3075 0.2500 0.2418
0.3157 0.2500 0.8191
0.4288 0.7500 0.9787
0.4664 0.2500 0.3643
0.5336 0.7500 0.6357
0.5712 0.2500 0.0213
0.6843 0.7500 0.1809
0.6925 0.7500 0.7582
0.8075 0.2500 0.2582
0.8157 0.2500 0.6809
0.9288 0.7500 0.5213
0.9664 0.2500 0.1357
```

Calculated values
**ΔH_f (0 K)**: -595 meV/atom
**Size of the total moment**: 0.000 μB per formula unit

An optimized crystal structure of Ac4Ru2I5. Source: the Alexandria database, functional PBE.

Cell and atoms, written as POSCAR:
```
Ac4Ru2I5
1.0
11.6237 -2.2255 0.0000
11.6237 2.2255 0.0000
-1.6106 0.0000 9.3075
Ac Ru I
4 2 5
Direct
0.0185 0.0185 0.2111
0.3410 0.3410 0.9197
0.6590 0.6590 0.0803
0.9815 0.9815 0.7889
0.4467 0.4467 0.9795
0.5533 0.5533 0.0205
0.1659 0.1659 0.3524
0.1929 0.1929 0.8300
0.5000 0.5000 0.5000
0.8071 0.8071 0.1700
0.8341 0.8341 0.6476
```

Calculated values
**Size of the total moment**: 0.000 μB per formula unit
**Polymorph energy (0 for the lowest one)**: 0.000 eV per atom
**Energy relative to the elements, uncorrected**: -0.884 eV per atom

An optimized crystal structure of La4Tb5In. Source: the Alexandria database, functional PBE.

Cell and atoms, written as POSCAR:
```
La4Tb5In
1.0
3.6725 0.0000 0.0000
0.0000 4.9065 0.0000
0.0000 0.0000 18.0562
La Tb In
4 5 1
Direct
0.0000 0.0000 0.1039
0.0000 0.0000 0.3032
0.0000 0.0000 0.6968
0.0000 0.0000 0.8961
0.5000 0.5000 0.0000
0.5000 0.5000 0.2097
0.5000 0.5000 0.4122
0.5000 0.5000 0.5878
0.5000 0.5000 0.7903
0.0000 0.0000 0.5000
```

Calculated values
**ΔH_f (0 K)**: -67 meV/atom
**Size of the total moment**: 0.000 μB per formula unit
**Polymorph energy (0 for the lowest one)**: 0.000 eV per atom

An optimized crystal structure of V2CrAsS. Source: the Alexandria database, functional PBE.

Cell and atoms, written as POSCAR:
```
V2CrAsS
1.0
4.3379 0.0000 0.0000
0.0000 4.3379 0.0000
0.0000 0.0000 4.2949
V Cr As S
2 1 1 1
Direct
0.0000 0.5000 0.0000
0.5000 0.0000 0.0000
0.0000 0.0000 0.5000
0.5000 0.5000 0.5000
0.0000 0.0000 0.0000
```

Calculated values
**Size of the total moment**: 0.597 μB per formula unit
**Energy relative to the elements, uncorrected**: 0.161 eV per atom

An optimized crystal structure of Nd2PaSe2N2. Source: the Alexandria database, functional PBE.

Cell and atoms, written as POSCAR:
```
Nd2PaSe2N2
1.0
-2.1870 2.1870 7.8426
2.1870 -2.1870 7.8426
2.1870 2.1870 -7.8426
Nd Pa Se N
2 1 2 2
Direct
0.1243 0.1243 0.0000
0.8757 0.8757 0.0000
0.5000 0.5000 0.0000
0.3171 0.3171 0.0000
0.6829 0.6829 0.0000
0.0000 0.5000 0.5000
0.5000 0.0000 0.5000
```

Calculated values
**Size of the total moment**: 0.000 μB per formula unit
**Energy relative to the elements, uncorrected**: -1.561 eV per atom

An optimized crystal structure of La2Zn7Ni. Source: the Alexandria database, functional PBE.

Cell and atoms, written as POSCAR:
```
La2Zn7Ni
1.0
4.3886 0.0000 0.0000
0.0000 4.3886 0.0000
0.0000 0.0000 10.0479
La Zn Ni
2 7 1
Direct
0.0000 0.5000 0.2379
0.5000 0.0000 0.7621
0.0000 0.0000 0.0000
0.0000 0.0000 0.5000
0.0000 0.5000 0.6327
0.0000 0.5000 0.8818
0.5000 0.0000 0.1182
0.5000 0.0000 0.3673
0.5000 0.5000 0.5000
0.5000 0.5000 0.0000
```

Calculated values
**ΔH_f (0 K)**: -300 meV/atom
**Size of the total moment**: 0.000 μB per formula unit

An optimized crystal structure of CsVZn2Hg. Source: the Alexandria database, functional PBE.

Cell and atoms, written as POSCAR:
```
CsVZn2Hg
1.0
5.2909 0.0000 0.0000
0.0000 5.2909 0.0000
0.0000 0.0000 5.5595
Cs V Zn Hg
1 1 2 1
Direct
0.0000 0.0000 0.0000
0.5000 0.5000 0.5000
0.0000 0.5000 0.5000
0.5000 0.0000 0.5000
0.5000 0.5000 0.0000
```

Calculated values
**ΔH_f (0 K)**: 379 meV/atom
**Size of the total moment**: 4.456 μB per formula unit

An optimized crystal structure of TaFeMo2. Source: the Alexandria database, functional PBE.

Cell and atoms, written as POSCAR:
```
TaFeMo2
1.0
3.1710 0.0000 0.0000
0.0000 4.3383 0.0000
0.0000 0.0000 4.4580
Ta Fe Mo
1 1 2
Direct
0.0000 0.0000 0.0000
0.5000 0.5000 0.0000
0.0000 0.5000 0.5000
0.5000 0.0000 0.5000
```

Calculated values
**ΔH_f (0 K)**: -17 meV/atom
**Size of the total moment**: 1.550 μB per formula unit
**Polymorph energy (0 for the lowest one)**: 0.012 eV per atom

An optimized crystal structure of ThAgSe2. Source: the Alexandria database, functional PBE.

Cell and atoms, written as POSCAR:
```
ThAgSe2
1.0
2.0911 1.2073 8.5072
-2.0911 1.2073 8.5072
0.0000 -2.4145 8.5072
Th Ag Se
1 1 2
Direct
0.0000 0.0000 0.0000
0.5000 0.5000 0.5000
0.4003 0.4003 0.4003
0.5997 0.5997 0.5997
```

Calculated values
**Size of the total moment**: 0.000 μB per formula unit
**Energy relative to the elements, uncorrected**: -0.937 eV per atom

An optimized crystal structure of Sm2GdFe. Source: the Alexandria database, functional PBE.

Cell and atoms, written as POSCAR:
```
Sm2GdFe
1.0
2.3590 1.3620 5.5006
-2.3590 1.3620 5.5006
0.0000 -2.7239 5.5006
Sm Gd Fe
2 1 1
Direct
0.2257 0.2257 0.2257
0.7743 0.7743 0.7743
0.0000 0.0000 0.0000
0.5000 0.5000 0.5000
```

Calculated values
**ΔH_f (0 K)**: 362 meV/atom
**Size of the total moment**: 6.658 μB per formula unit
**Polymorph energy (0 for the lowest one)**: 0.198 eV per atom

An optimized crystal structure of Mg2SbWI. Source: the Alexandria database, functional PBE.

Cell and atoms, written as POSCAR:
```
Mg2SbWI
1.0
5.4733 0.0000 0.0000
0.0000 5.4733 0.0000
0.0000 0.0000 4.9945
Mg Sb W I
2 1 1 1
Direct
0.0000 0.5000 0.0000
0.5000 0.0000 0.0000
0.0000 0.0000 0.5000
0.5000 0.5000 0.0000
0.5000 0.5000 0.5000
```

Calculated values
**Size of the total moment**: 1.221 μB per formula unit
**Energy relative to the elements, uncorrected**: 1.060 eV per atom

An optimized crystal structure of LiPm2Sn2Rh. Source: the Alexandria database, functional PBE.

Cell and atoms, written as POSCAR:
```
LiPm2Sn2Rh
1.0
-3.2304 7.0254 3.1916
3.2304 -7.0254 3.1916
3.2304 7.0254 -3.1916
Li Pm Sn Rh
2 4 4 2
Direct
0.2500 0.2500 0.0000
0.7500 0.7500 0.0000
0.1526 0.7308 0.8834
0.3474 0.2308 0.5783
0.6526 0.7692 0.4217
0.8474 0.2692 0.1166
0.1109 0.2408 0.3517
0.3891 0.7408 0.1299
0.6109 0.2592 0.8701
0.8891 0.7592 0.6483
0.2500 0.7500 0.5000
0.7500 0.2500 0.5000
```

Calculated values
**ΔH_f (0 K)**: -686 meV/atom
**Size of the total moment**: 0.000 μB per formula unit

An optimized crystal structure of U3Si3Ir5. Source: the Alexandria database, functional PBE.

Cell and atoms, written as POSCAR:
```
U3Si3Ir5
1.0
7.3533 0.0000 0.0000
-3.6766 6.3681 0.0000
0.0000 0.0000 4.8625
U Si Ir
3 3 5
Direct
0.0000 0.3706 0.0000
0.3706 0.0000 0.0000
0.6294 0.6294 0.0000
0.0000 0.6219 0.5000
0.3781 0.3781 0.5000
0.6219 0.0000 0.5000
0.0000 0.2121 0.5000
0.2121 0.0000 0.5000
0.3333 0.6667 0.5000
0.6667 0.3333 0.5000
0.7879 0.7879 0.5000
```

Calculated values
**Size of the total moment**: 8.990 μB per formula unit
**Energy relative to the elements, uncorrected**: -0.232 eV per atom

An optimized crystal structure of Y2ThMg. Source: the Alexandria database, functional PBE.

Cell and atoms, written as POSCAR:
```
Y2ThMg
1.0
3.6139 0.0000 0.0000
0.0000 3.6139 0.0000
0.0000 0.0000 9.1473
Y Th Mg
2 1 1
Direct
0.0000 0.0000 0.2375
0.0000 0.0000 0.7625
0.5000 0.5000 0.5000
0.5000 0.5000 0.0000
```

Calculated values
**ΔH_f (0 K)**: -49 meV/atom
**Size of the total moment**: 0.000 μB per formula unit
**Polymorph energy (0 for the lowest one)**: 0.000 eV per atom

An optimized crystal structure of Ac2Pb3Au2. Source: the Alexandria database, functional PBE.

Cell and atoms, written as POSCAR:
```
Ac2Pb3Au2
1.0
5.7818 -2.3717 0.0000
5.7818 2.3717 0.0000
-0.8440 0.0000 7.6282
Ac Pb Au
2 3 2
Direct
0.1210 0.1210 0.3314
0.8790 0.8790 0.6686
0.1892 0.1892 0.8573
0.5000 0.5000 0.0000
0.8108 0.8108 0.1427
0.4009 0.4009 0.3739
0.5991 0.5991 0.6261
```

Calculated values
**ΔH_f (0 K)**: -558 meV/atom
**Size of the total moment**: 0.000 μB per formula unit
**Polymorph energy (0 for the lowest one)**: 0.000 eV per atom

An optimized crystal structure of Pu2RhW. Source: the Alexandria database, functional PBE.

Cell and atoms, written as POSCAR:
```
Pu2RhW
1.0
1.4336 0.8277 10.7094
-1.4336 0.8277 10.7094
0.0000 -1.6554 10.7094
Pu Rh W
2 1 1
Direct
0.0892 0.0892 0.0892
0.9108 0.9108 0.9108
0.5000 0.5000 0.5000
0.0000 0.0000 0.0000
```

Calculated values
**ΔH_f (0 K)**: 457 meV/atom
**Size of the total moment**: 8.845 μB per formula unit

An optimized crystal structure of LiTi4. Source: the Alexandria database, functional PBE.

Cell and atoms, written as POSCAR:
```
LiTi4
1.0
4.4426 0.0000 0.0000
0.0000 4.4426 0.0000
0.0000 0.0000 4.4426
Li Ti
1 4
Direct
0.0000 0.0000 0.0000
0.0000 0.0000 0.5000
0.0000 0.5000 0.0000
0.5000 0.0000 0.0000
0.5000 0.5000 0.5000
```

Calculated values
**ΔH_f (0 K)**: 891 meV/atom
**Size of the total moment**: 3.305 μB per formula unit

An optimized crystal structure of Cs3LaHf. Source: the Alexandria database, functional PBE.

Cell and atoms, written as POSCAR:
```
Cs3LaHf
1.0
7.1402 0.0000 0.0000
0.0000 7.1402 0.0000
0.0000 0.0000 7.1402
Cs La Hf
3 1 1
Direct
0.0000 0.0000 0.5000
0.0000 0.5000 0.0000
0.5000 0.0000 0.0000
0.0000 0.0000 0.0000
0.5000 0.5000 0.5000
```

Calculated values
**ΔH_f (0 K)**: 1720 meV/atom
**Size of the total moment**: 0.932 μB per formula unit

An optimized crystal structure of Tb3Pr2Dy2. Source: the Alexandria database, functional PBE.

Cell and atoms, written as POSCAR:
```
Tb3Pr2Dy2
1.0
8.8344 -1.7644 0.0000
8.8344 1.7644 0.0000
-4.1881 0.0000 7.5286
Tb Pr Dy
3 2 2
Direct
0.0000 0.0000 0.0000
0.2117 0.2117 0.1250
0.7883 0.7883 0.8750
0.4329 0.4329 0.2789
0.5671 0.5671 0.7211
0.1505 0.1505 0.4649
0.8495 0.8495 0.5351
```

Calculated values
**ΔH_f (0 K)**: 122 meV/atom
**Size of the total moment**: 0.000 μB per formula unit
**Polymorph energy (0 for the lowest one)**: 0.000 eV per atom

An optimized crystal structure of Y3RuSe. Source: the Alexandria database, functional PBE.

Cell and atoms, written as POSCAR:
```
Y3RuSe
1.0
8.3592 0.0000 0.0000
0.0000 3.8513 0.0000
-1.0902 0.0000 8.2890
Y Ru Se
6 2 2
Direct
0.0142 0.2500 0.1729
0.3220 0.7500 0.6319
0.3710 0.7500 0.0995
0.6290 0.2500 0.9005
0.6780 0.2500 0.3681
0.9858 0.7500 0.8271
0.2391 0.2500 0.8727
0.7609 0.7500 0.1273
0.3296 0.2500 0.3684
0.6704 0.7500 0.6316
```

Calculated values
**Size of the total moment**: 0.000 μB per formula unit
**Polymorph energy (0 for the lowest one)**: 0.000 eV per atom
**Energy relative to the elements, uncorrected**: -0.821 eV per atom

An optimized crystal structure of ReBrCl2. Source: the Alexandria database, functional PBE.

Cell and atoms, written as POSCAR:
```
ReBrCl2
1.0
5.2020 0.0000 0.0000
0.0000 5.2020 0.0000
0.0000 0.0000 3.1235
Re Br Cl
1 1 2
Direct
0.0000 0.0000 0.0000
0.5000 0.5000 0.0000
0.0000 0.5000 0.5000
0.5000 0.0000 0.5000
```

Calculated values
**Size of the total moment**: 3.934 μB per formula unit
**Polymorph energy (0 for the lowest one)**: 1.485 eV per atom
**Energy relative to the elements, uncorrected**: 1.321 eV per atom